The following is a SCAN calculation of a PBEsol-optimized structure of RbTcBiMo2, from Alexandria via LeMat-Bulk.

- Density: 6.72 g cm⁻³
- DFT formation energy: 2.139 eV/atom
- Spin magnetization: 5.53 μB per formula unit
- Crystal system: tetragonal

The structure in CIF format:
```
data_RbTcBiMo2
_cell_length_a 5.2899
_cell_length_b 5.2899
_cell_length_c 5.1599
_cell_angle_alpha 90.00
_cell_angle_beta 90.00
_cell_angle_gamma 90.00
_space_group_name_H-M_alt 'P 4/m m m'
_space_group_IT_number 123
_space_group_name_Hall '-P 4 2'
loop_
_atom_site_label
_atom_site_fract_x
_atom_site_fract_y
_atom_site_fract_z
Rb1 0.0000 0.0000 0.0000
Tc1 0.5000 0.5000 0.0000
Bi1 0.5000 0.5000 0.5000
Mo1 0.0000 0.5000 0.5000
```